A relaxed structure of KCo2H3Se2O10. Source: the Alexandria database, functional PBE+U.

Results
Polymorph energy (0 for the lowest one), eV/atom: 0.0000

a b c (Å): 5.657 5.657 7.849
angles (deg): 70.47 70.47 71.67
Site moments in Bohr magnetons follow the coordinates.
Positions (direct):
O 0.817 0.238 0.228  0.03
O 0.238 0.817 0.228  0.03
O 0.345 0.345 0.078  0.06
O 0.647 0.647 0.924  0.04
O 0.188 0.188 0.851  0.03
O 0.750 0.171 0.779  0.03
O 0.799 0.799 0.159  0.04
O 0.794 0.794 0.509  0.01
O 0.194 0.194 0.500  0.02
O 0.171 0.750 0.779  0.03
H 0.683 0.683 0.788  0.00
H 0.518 0.518 0.988  0.00
H 0.313 0.313 0.214  0.00
Co 0.493 0.001 0.008  2.71
Co 0.001 0.493 0.008  2.71
Se 0.914 0.914 0.285  0.01
Se 0.074 0.074 0.724  0.01
K 0.494 0.494 0.504  0.00